# Ce2Pr3DyP6

A geometry-optimized Ce2Pr3DyP6 structure (PBE-GGA, Alexandria).

Lattice parameters (Å, degrees): 7.1452 12.3758 7.1593 90.00 109.43 90.00
Space group C2/m (No. 12)
Inequivalent atoms, fractional coordinates:
Ce 0.0000 0.1666 0.0000 (multiplicity 4)
Pr 0.0000 0.0000 0.5000 (multiplicity 2)
Pr 0.0000 0.3334 0.5000 (multiplicity 4)
Dy 0.0000 0.5000 0.0000 (multiplicity 2)
P 0.2464 0.0000 0.2391 (multiplicity 4)
P 0.2460 0.3333 0.2381 (multiplicity 8)

Calculated values
* DFT total energy: -6.805 eV per atom
* D(E_F): 20.02 states/eV per cell
* formation energy from the elements: -1.533 eV/atom
* magnetization: 1.54 μB/cell


# AcNdCd

A geometry-optimized AcNdCd structure (PBE-GGA, Alexandria).

Lattice parameters (Å, degrees): 5.5293 5.5293 3.8387 90.00 90.00 120.00
Space group P3m1 (No. 156)
Inequivalent atoms, fractional coordinates:
Ac 0.0000 0.0000 0.0000 (multiplicity 1)
Nd 0.6667 0.3333 0.5633 (multiplicity 1)
Cd 0.3333 0.6667 0.3865 (multiplicity 1)

Calculated values
* DFT total energy: -3.333 eV per atom
* polymorph energy (0 for the lowest one): 115 meV per atom
* D(E_F): 4.12 states/eV per cell
* formation energy from the elements: -0.070 eV/atom
* magnetization: 0.00 μB/cell


# Y3Se2N

A geometry-optimized Y3Se2N structure (PBE-GGA, Alexandria).

Lattice parameters (Å, degrees): 13.6076 8.0304 5.5716 90.00 90.00 90.00
Space group Cmcm (No. 63)
Inequivalent atoms, fractional coordinates:
Y 0.0000 0.1213 0.2500 (multiplicity 4)
Y 0.1463 0.2803 0.7500 (multiplicity 8)
Se 0.1563 0.3551 0.2500 (multiplicity 8)
N 0.0000 0.1570 0.7500 (multiplicity 4)

Calculated values
* DFT total energy: -7.305 eV per atom
* polymorph energy (0 for the lowest one): 120 meV per atom
* D(E_F): 13.36 states/eV per cell
* E_form (uncorrected): -1524 meV per atom
* magnetization: 0.00 μB/cell


# LaGe2Bi

A geometry-optimized LaGe2Bi structure (PBE-GGA, Alexandria).

Lattice parameters (Å, degrees): 4.7764 4.7764 4.4261 90.00 90.00 90.00
Space group P4/mmm (No. 123)
Inequivalent atoms, fractional coordinates:
La 0.0000 0.0000 0.0000 (multiplicity 1)
Ge 0.0000 0.5000 0.5000 (multiplicity 2)
Bi 0.5000 0.5000 0.0000 (multiplicity 1)

Calculated values
* DFT total energy: -4.947 eV per atom
* D(E_F): 2.12 states/eV per cell
* formation energy from the elements: -0.436 eV/atom
* magnetization: 0.00 μB/cell


# Rb3I2O7

A geometry-optimized Rb3I2O7 structure (PBE-GGA, Alexandria).

Lattice parameters (Å, degrees): 4.2112 24.0655 4.1906 90.00 90.00 90.00
Space group Cmmm (No. 65)
Inequivalent atoms, fractional coordinates:
Rb 0.0000 0.0000 0.0000 (multiplicity 2)
Rb 0.0000 0.1807 0.0000 (multiplicity 4)
I 0.0000 0.4092 0.5000 (multiplicity 4)
O 0.0000 0.0920 0.5000 (multiplicity 4)
O 0.0000 0.3310 0.5000 (multiplicity 4)
O 0.0000 0.4079 0.0000 (multiplicity 4)
O 0.0000 0.5000 0.5000 (multiplicity 2)

Calculated values
* DFT total energy: -4.215 eV per atom
* D(E_F): 5.57 states/eV per cell
* E_form (uncorrected): -822 meV per atom
* magnetization: 0.00 μB/cell


# AcTlGaAu

A geometry-optimized AcTlGaAu structure (PBE-GGA, Alexandria).

Lattice parameters (Å, degrees): 7.4863 7.4863 7.4863 90.00 90.00 90.00
Space group F-43m (No. 216)
Inequivalent atoms, fractional coordinates:
Ac 0.0000 0.0000 0.0000 (multiplicity 4)
Tl 0.0000 0.0000 0.5000 (multiplicity 4)
Ga 0.2500 0.2500 0.7500 (multiplicity 4)
Au 0.2500 0.2500 0.2500 (multiplicity 4)

Calculated values
* DFT total energy: -3.628 eV per atom
* D(E_F): 5.38 states/eV per cell
* formation energy from the elements: -0.433 eV/atom
* magnetization: 0.00 μB/cell


# TlIn2I4

A geometry-optimized TlIn2I4 structure (PBE-GGA, Alexandria).

Lattice parameters (Å, degrees): 9.3368 9.3650 9.6593 116.75 103.65 106.89
Space group P-1 (No. 2)
Inequivalent atoms, fractional coordinates:
Tl 0.0565 0.2743 0.3303 (multiplicity 2)
In 0.0000 0.5000 0.0000 (multiplicity 1)
In 0.5000 0.0000 0.0000 (multiplicity 1)
In 0.5000 0.0000 0.5000 (multiplicity 1)
In 0.5000 0.5000 0.0000 (multiplicity 1)
I 0.2055 0.5429 0.7476 (multiplicity 2)
I 0.2475 0.9709 0.2198 (multiplicity 2)
I 0.2790 0.0303 0.6784 (multiplicity 2)
I 0.3522 0.6019 0.3226 (multiplicity 2)

Calculated values
* DFT total energy: -2.494 eV per atom
* polymorph energy (0 for the lowest one): 0 meV per atom
* E_form (uncorrected): -488 meV per atom
* magnetization: 0.00 μB/cell